The following is a PBE-GGA calculation of a relaxed structure of HfZnIr, from OQMD via LeMat-Bulk.

## Properties
- Space group: Cmcm
- Mass density: 14.211 g/cm³
- Volume: 50.96 Å³/f.u.
- ΔH_f (0 K): -0.76 eV per atom
- Electronic total energy: -22.34 eV/f.u.

CIF file:
```
data_HfZnIr
_chemical_formula_sum 'Hf4 Zn4 Ir4'
_symmetry_space_group_name_H-M 'P 1'
_symmetry_Int_Tables_number 1
_cell_length_a 4.246
_cell_length_b 5.199
_cell_length_c 9.234
_cell_angle_alpha 90.00
_cell_angle_beta 90.00
_cell_angle_gamma 90.00
loop_
_symmetry_equiv_pos_as_xyz
'x,y,z'
loop_
_atom_site_label
_atom_site_type_symbol
_atom_site_fract_x
_atom_site_fract_y
_atom_site_fract_z
Hf1 Hf 0.500 0.000 0.035
Hf2 Hf 0.500 0.500 0.465
Hf3 Hf 0.000 0.000 0.535
Hf4 Hf 0.000 0.500 0.965
Ir1 Ir 0.500 0.500 0.148
Ir2 Ir 0.500 0.000 0.352
Ir3 Ir 0.000 0.500 0.648
Ir4 Ir 0.000 0.000 0.852
Zn1 Zn 0.000 0.250 0.250
Zn2 Zn 0.000 0.750 0.250
Zn3 Zn 0.500 0.250 0.750
Zn4 Zn 0.500 0.750 0.750
```